DFT (GGA-PBE) results for a geometry-optimized La3Pr4Ag structure.

Properties
- Electronic total energy: -4.64 eV per atom
- Space-group type: P4/mmm
- Total magnetization: 0.002 μB/f.u.
- D(E_F): 1.6103 states/eV per atom

a = 3.7671 Å, b = 3.7671 Å, c = 19.2597 Å
α = 90.00°, β = 90.00°, γ = 90.00°
With the nearest neighbours (Å) after each atom.
Fractional positions:
La1 0.5000 0.5000 0.7696  8 Pr 3.69-3.71, 4 La 3.77
La2 0.5000 0.5000 0.2304  8 Pr 3.69-3.71, 4 La 3.77
La3 0.5000 0.5000 0.5000  8 Pr 3.72, 4 La 3.77
Pr1 0.0000 0.0000 0.0981  4 Ag 3.27
Pr2 0.0000 0.0000 0.9019  4 Ag 3.27
Pr3 0.0000 0.0000 0.6352  8 La 3.71-3.72, 4 Pr 3.77
Pr4 0.0000 0.0000 0.3648  8 La 3.71-3.72, 4 Pr 3.77
Ag1 0.5000 0.5000 0.0000  8 Pr 3.27



DFT (GGA-PBE) results for a geometry-optimized NaTlTcCl6 structure.

Properties
- Electronic total energy: -3.84 eV per atom
- Space-group type: P-31c
- Total magnetization: 3.000 μB/f.u.
- Raw formation energy: -1046 meV per atom

a = 6.9642 Å, b = 6.9642 Å, c = 13.1795 Å
α = 90.00°, β = 90.00°, γ = 120.00°
With the nearest neighbours (Å) after each atom.
Fractional positions:
Cl1 0.6048 0.9515 0.8549  1 Tc 2.38
Cl2 0.6532 0.0485 0.3549  1 Tc 2.38
Cl3 0.0485 0.3952 0.6451  1 Tc 2.38
Cl4 0.3468 0.9515 0.6451  1 Tc 2.38
Cl5 0.6532 0.6048 0.1451  1 Tc 2.38
Cl6 0.3952 0.3468 0.3549  1 Tc 2.38
Cl7 0.0485 0.6532 0.8549  1 Tc 2.38
Cl8 0.6048 0.6532 0.6451  1 Tc 2.38
Cl9 0.9515 0.6048 0.3549  1 Tc 2.38
Cl10 0.3468 0.3952 0.8549  1 Tc 2.38
Cl11 0.3952 0.0485 0.1451  1 Tc 2.38
Cl12 0.9515 0.3468 0.1451  1 Tc 2.38
Tc1 0.3333 0.6667 0.7500  6 Cl 2.38
Tc2 0.6667 0.3333 0.2500  6 Cl 2.38
Na1 0.3333 0.6667 0.2500  6 Cl 2.83
Na2 0.6667 0.3333 0.7500  6 Cl 2.83
Tl1 0.0000 0.0000 0.0000  6 Cl 3.23
Tl2 0.0000 0.0000 0.5000  6 Cl 3.23